1.
First-principles (PBE) data for Co2ReW after structural relaxation, as listed in Alexandria via LeMat-Bulk.

Properties
* total moment: 0.323 μB per cell
* polymorph energy (0 for the lowest one): 88 meV per atom

Cell and atoms, written as CIF:
```
data_Co2ReW
_cell_length_a 2.6474
_cell_length_b 2.6474
_cell_length_c 7.3835
_cell_angle_alpha 90.00
_cell_angle_beta 90.00
_cell_angle_gamma 90.05
_symmetry_space_group_name_H-M 'P 1'
_symmetry_Int_Tables_number 1
_symmetry_space_group_name_Hall 'P 1'
loop_
_atom_site_label
_atom_site_type_symbol
_atom_site_fract_x
_atom_site_fract_y
_atom_site_fract_z
Co1 Co 0.0000 0.0000 0.0050
Co2 Co 0.0000 0.0000 0.4950
Re1 Re 0.5000 0.5000 0.2500
W1 W 0.5000 0.5000 0.7500
```

---

2.
First-principles (PBE) data for CoReW after structural relaxation, as listed in Alexandria via LeMat-Bulk.

Properties
* total moment: 0.772 μB per cell
* polymorph energy (0 for the lowest one): 162 meV per atom

Cell and atoms, written as CIF:
```
data_CoReW
_cell_length_a 4.7394
_cell_length_b 4.7394
_cell_length_c 4.7394
_cell_angle_alpha 147.66
_cell_angle_beta 131.40
_cell_angle_gamma 59.59
_symmetry_space_group_name_H-M 'P 1'
_symmetry_Int_Tables_number 1
_symmetry_space_group_name_Hall 'P 1'
loop_
_atom_site_label
_atom_site_type_symbol
_atom_site_fract_x
_atom_site_fract_y
_atom_site_fract_z
Co1 Co 0.0034 0.0034 0.0000
Re1 Re 0.6597 0.6597 0.0000
W1 W 0.3369 0.3369 0.0000
```

---

3.
First-principles (PBE) data for Co2ReW after structural relaxation, as listed in Alexandria via LeMat-Bulk.

Properties
* total moment: 3.741 μB per cell
* polymorph energy (0 for the lowest one): 356 meV per atom

Cell and atoms, written as CIF:
```
data_Co2ReW
_cell_length_a 4.2191
_cell_length_b 4.2191
_cell_length_c 4.2191
_cell_angle_alpha 60.00
_cell_angle_beta 60.00
_cell_angle_gamma 60.00
_symmetry_space_group_name_H-M 'P 1'
_symmetry_Int_Tables_number 1
_symmetry_space_group_name_Hall 'P 1'
loop_
_atom_site_label
_atom_site_type_symbol
_atom_site_fract_x
_atom_site_fract_y
_atom_site_fract_z
Re1 Re 0.5000 0.5000 0.5000
Co1 Co 0.2500 0.2500 0.2500
Co2 Co 0.7500 0.7500 0.7500
W1 W 0.0000 0.0000 0.0000
```

---

4.
First-principles (PBE) data for CoReW after structural relaxation, as listed in Alexandria via LeMat-Bulk.

Properties
* total moment: 1.689 μB per cell
* polymorph energy (0 for the lowest one): 150 meV per atom

Cell and atoms, written as CIF:
```
data_CoReW
_cell_length_a 4.3309
_cell_length_b 4.3309
_cell_length_c 2.6501
_cell_angle_alpha 90.00
_cell_angle_beta 90.00
_cell_angle_gamma 120.00
_symmetry_space_group_name_H-M 'P 1'
_symmetry_Int_Tables_number 1
_symmetry_space_group_name_Hall 'P 1'
loop_
_atom_site_label
_atom_site_type_symbol
_atom_site_fract_x
_atom_site_fract_y
_atom_site_fract_z
Co1 Co 0.0000 0.0000 0.9739
Re1 Re 0.3333 0.6667 0.3571
W1 W 0.6667 0.3333 0.6690
```

---

5.
First-principles (PBE) data for Co2ReW after structural relaxation, as listed in Alexandria via LeMat-Bulk.

Properties
* total moment: 0.786 μB per cell
* polymorph energy (0 for the lowest one): 262 meV per atom

Cell and atoms, written as CIF:
```
data_Co2ReW
_cell_length_a 4.2251
_cell_length_b 4.2251
_cell_length_c 4.2251
_cell_angle_alpha 60.00
_cell_angle_beta 60.00
_cell_angle_gamma 60.00
_symmetry_space_group_name_H-M 'P 1'
_symmetry_Int_Tables_number 1
_symmetry_space_group_name_Hall 'P 1'
loop_
_atom_site_label
_atom_site_type_symbol
_atom_site_fract_x
_atom_site_fract_y
_atom_site_fract_z
Co1 Co 0.0000 0.0000 0.0000
Co2 Co 0.7500 0.7500 0.7500
Re1 Re 0.5000 0.5000 0.5000
W1 W 0.2500 0.2500 0.2500
```

---

6.
First-principles (PBE) data for CoRe3W after structural relaxation, as listed in Alexandria via LeMat-Bulk.

Properties
* total moment: 0.000 μB per cell
* polymorph energy (0 for the lowest one): 0 meV per atom

Cell and atoms, written as CIF:
```
data_CoRe3W
_cell_length_a 4.3596
_cell_length_b 4.3596
_cell_length_c 4.3596
_cell_angle_alpha 90.00
_cell_angle_beta 90.00
_cell_angle_gamma 90.00
_symmetry_space_group_name_H-M 'P 1'
_symmetry_Int_Tables_number 1
_symmetry_space_group_name_Hall 'P 1'
loop_
_atom_site_label
_atom_site_type_symbol
_atom_site_fract_x
_atom_site_fract_y
_atom_site_fract_z
Re1 Re 0.0000 0.5000 0.0000
Re2 Re 0.0000 0.0000 0.5000
Re3 Re 0.5000 0.0000 0.0000
Co1 Co 0.0000 0.0000 0.0000
W1 W 0.5000 0.5000 0.5000
```

---

7.
First-principles (PBE) data for Co2ReW after structural relaxation, as listed in Alexandria via LeMat-Bulk.

Properties
* total moment: 0.094 μB per cell
* polymorph energy (0 for the lowest one): 59 meV per atom

Cell and atoms, written as CIF:
```
data_Co2ReW
_cell_length_a 4.5531
_cell_length_b 4.5531
_cell_length_c 4.5531
_cell_angle_alpha 131.58
_cell_angle_beta 131.57
_cell_angle_gamma 70.89
_symmetry_space_group_name_H-M 'P 1'
_symmetry_Int_Tables_number 1
_symmetry_space_group_name_Hall 'P 1'
loop_
_atom_site_label
_atom_site_type_symbol
_atom_site_fract_x
_atom_site_fract_y
_atom_site_fract_z
Re1 Re 0.7500 0.2500 0.5000
Co1 Co 0.0001 0.0001 0.0000
Co2 Co 0.4999 0.4999 0.0000
W1 W 0.2500 0.7500 0.5000
```

---

8.
First-principles (PBE) data for Co2ReW after structural relaxation, as listed in Alexandria via LeMat-Bulk.

Properties
* total moment: 0.007 μB per cell
* polymorph energy (0 for the lowest one): 62 meV per atom

Cell and atoms, written as CIF:
```
data_Co2ReW
_cell_length_a 4.5513
_cell_length_b 4.5513
_cell_length_c 2.6402
_cell_angle_alpha 89.97
_cell_angle_beta 89.97
_cell_angle_gamma 109.10
_symmetry_space_group_name_H-M 'P 1'
_symmetry_Int_Tables_number 1
_symmetry_space_group_name_Hall 'P 1'
loop_
_atom_site_label
_atom_site_type_symbol
_atom_site_fract_x
_atom_site_fract_y
_atom_site_fract_z
Co1 Co 0.0000 0.0000 0.0000
Co2 Co 0.5000 0.5000 0.0000
Re1 Re 0.5000 0.0000 0.5000
W1 W 0.0000 0.5000 0.5000
```

---

9.
First-principles (PBE) data for Co2ReW after structural relaxation, as listed in Alexandria via LeMat-Bulk.

Properties
* total moment: 0.000 μB per cell
* polymorph energy (0 for the lowest one): 693 meV per atom

Cell and atoms, written as CIF:
```
data_Co2ReW
_cell_length_a 6.5572
_cell_length_b 6.5572
_cell_length_c 5.3122
_cell_angle_alpha 51.89
_cell_angle_beta 51.89
_cell_angle_gamma 90.00
_symmetry_space_group_name_H-M 'P 1'
_symmetry_Int_Tables_number 1
_symmetry_space_group_name_Hall 'P 1'
loop_
_atom_site_label
_atom_site_type_symbol
_atom_site_fract_x
_atom_site_fract_y
_atom_site_fract_z
Re1 Re 0.0000 0.0000 0.0000
Re2 Re 0.7500 0.2500 0.5000
Co1 Co 0.6268 0.1250 0.2500
Co2 Co 0.1232 0.6250 0.2500
Co3 Co 0.3750 0.3732 0.7500
Co4 Co 0.8750 0.8768 0.7500
W1 W 0.5000 0.5000 0.0000
W2 W 0.2500 0.7500 0.5000
```

---

10.
First-principles (PBE) data for CoRe4W after structural relaxation, as listed in Alexandria via LeMat-Bulk.

Properties
* total moment: 1.020 μB per cell
* total DFT energy (no corrections): -67.30 eV/f.u.

Cell and atoms, written as CIF:
```
data_CoRe4W
_cell_length_a 5.1068
_cell_length_b 5.1068
_cell_length_c 5.1068
_cell_angle_alpha 60.00
_cell_angle_beta 60.00
_cell_angle_gamma 60.00
_symmetry_space_group_name_H-M 'P 1'
_symmetry_Int_Tables_number 1
_symmetry_space_group_name_Hall 'P 1'
loop_
_atom_site_label
_atom_site_type_symbol
_atom_site_fract_x
_atom_site_fract_y
_atom_site_fract_z
Co1 Co 0.0000 0.0000 0.0000
Re1 Re 0.8781 0.3740 0.3740
Re2 Re 0.3740 0.3740 0.8781
Re3 Re 0.3740 0.8781 0.3740
Re4 Re 0.3740 0.3740 0.3740
W1 W 0.7500 0.7500 0.7500
```

---

11.
First-principles (PBE) data for CoReW after structural relaxation, as listed in Alexandria via LeMat-Bulk.

Properties
* total moment: 1.864 μB per cell
* polymorph energy (0 for the lowest one): 201 meV per atom

Cell and atoms, written as CIF:
```
data_CoReW
_cell_length_a 4.8384
_cell_length_b 4.8384
_cell_length_c 4.8384
_cell_angle_alpha 141.90
_cell_angle_beta 141.90
_cell_angle_gamma 54.98
_symmetry_space_group_name_H-M 'P 1'
_symmetry_Int_Tables_number 1
_symmetry_space_group_name_Hall 'P 1'
loop_
_atom_site_label
_atom_site_type_symbol
_atom_site_fract_x
_atom_site_fract_y
_atom_site_fract_z
Co1 Co 0.0026 0.0026 0.0000
Re1 Re 0.3316 0.3316 0.0000
W1 W 0.6658 0.6658 0.0000
```

---

12.
First-principles (PBE) data for Co2ReW after structural relaxation, as listed in Alexandria via LeMat-Bulk.

Properties
* total moment: 1.324 μB per cell
* polymorph energy (0 for the lowest one): 155 meV per atom

Cell and atoms, written as CIF:
```
data_Co2ReW
_cell_length_a 2.6824
_cell_length_b 2.6824
_cell_length_c 7.3052
_cell_angle_alpha 90.00
_cell_angle_beta 90.00
_cell_angle_gamma 90.02
_symmetry_space_group_name_H-M 'P 1'
_symmetry_Int_Tables_number 1
_symmetry_space_group_name_Hall 'P 1'
loop_
_atom_site_label
_atom_site_type_symbol
_atom_site_fract_x
_atom_site_fract_y
_atom_site_fract_z
Co1 Co 0.0000 0.0000 0.0148
Co2 Co 0.5000 0.5000 0.2398
Re1 Re 0.0000 0.0000 0.4705
W1 W 0.5000 0.5000 0.7750
```

---

13.
First-principles (PBE) data for Co2ReW after structural relaxation, as listed in Alexandria via LeMat-Bulk.

Properties
* total moment: 1.547 μB per cell
* polymorph energy (0 for the lowest one): 233 meV per atom

Cell and atoms, written as CIF:
```
data_Co2ReW
_cell_length_a 4.5568
_cell_length_b 4.5568
_cell_length_c 4.6239
_cell_angle_alpha 80.08
_cell_angle_beta 80.08
_cell_angle_gamma 34.47
_symmetry_space_group_name_H-M 'P 1'
_symmetry_Int_Tables_number 1
_symmetry_space_group_name_Hall 'P 1'
loop_
_atom_site_label
_atom_site_type_symbol
_atom_site_fract_x
_atom_site_fract_y
_atom_site_fract_z
Co1 Co 0.9983 0.9983 0.0082
Co2 Co 0.5017 0.5017 0.4918
Re1 Re 0.2500 0.2500 0.2500
W1 W 0.7500 0.7500 0.7500
```

---

14.
First-principles (PBE) data for Co2Re2W after structural relaxation, as listed in Alexandria via LeMat-Bulk.

Properties
* total moment: 0.000 μB per cell
* total DFT energy (no corrections): -51.43 eV/f.u.

Cell and atoms, written as CIF:
```
data_Co2Re2W
_cell_length_a 7.1272
_cell_length_b 7.1272
_cell_length_c 2.6571
_cell_angle_alpha 90.00
_cell_angle_beta 90.00
_cell_angle_gamma 90.00
_symmetry_space_group_name_H-M 'P 1'
_symmetry_Int_Tables_number 1
_symmetry_space_group_name_Hall 'P 1'
loop_
_atom_site_label
_atom_site_type_symbol
_atom_site_fract_x
_atom_site_fract_y
_atom_site_fract_z
Re1 Re 0.1764 0.6764 0.5000
Re2 Re 0.6764 0.8236 0.5000
Re3 Re 0.8236 0.3236 0.5000
Re4 Re 0.3236 0.1764 0.5000
Co1 Co 0.3817 0.8817 0.0000
Co2 Co 0.8817 0.6183 0.0000
Co3 Co 0.6183 0.1183 0.0000
Co4 Co 0.1183 0.3817 0.0000
W1 W 0.0000 0.0000 0.0000
W2 W 0.5000 0.5000 0.0000
```